No. 1
RbHgPbAu2 after structural relaxation, computed with PBE-GGA.

abc: 4.9911 4.4025 7.3696
angles: 107.38 109.79 90.00
Sites, in units of the cell vectors:
Hg  0.8370  0.8370  0.6740
Au  0.6796  0.1796  0.3592
Au  0.0520  0.0520  0.1040
Rb  0.4516  0.4516  0.9033
Pb  0.1919  0.6919  0.3838

Computed properties:
Calculated total energy, eV/atom: -2.453
E_form, eV/atom: -0.147
Energy above the lowest structure with this stoichiometry, kJ per mole of atoms: 0.00
ρ, g/cm3: 10.20

No. 2
RbHgPbAu2 after structural relaxation, computed with PBE-GGA.

abc: 5.6792 5.6792 5.7329
angles: 90.00 90.00 90.00
Sites, in units of the cell vectors:
Hg  0.0000  0.0000  0.5000
Au  0.0000  0.5000  0.0000
Pb  0.0000  0.0000  0.0000
Au  0.5000  0.0000  0.0000
Rb  0.5000  0.5000  0.5000

Computed properties:
Calculated total energy, eV/atom: -2.338
E_form, eV/atom: -0.032
Energy above the lowest structure with this stoichiometry, kJ per mole of atoms: 11.08
ρ, g/cm3: 7.97

Q: Look up the ρ of the second one.
A: 7.97 g/cm3

Q: What is the formula in the first record?
A: RbHgPbAu2

Q: energy above the lowest structure with this stoichiometry of number 2 (RbHgPbAu2)?
A: 11.08 kJ per mole of atoms

Q: The highest E_form belongs to which entry?
A: number 2